# PBE CeZnH8Ru2, relaxed
# electronic total energy: -51.509 eV/cell
data_CeZnH8Ru2
_chemical_formula_sum 'Ce1 Zn1 H8 Ru2'
_symmetry_space_group_name_H-M 'P -3 m 1'
_symmetry_Int_Tables_number 164
_symmetry_space_group_name_Hall '-P 3 2"'
_cell_length_a 4.6847
_cell_length_b 4.6847
_cell_length_c 6.5489
_cell_angle_alpha 90.00
_cell_angle_beta 90.00
_cell_angle_gamma 120.00
loop_
_atom_site_label
_atom_site_fract_x
_atom_site_fract_y
_atom_site_fract_z
Ce1 0.0000 0.0000 0.0000
Zn1 0.0000 0.0000 0.5000
H1 0.1420 0.2840 0.2865
H2 0.3333 0.6667 0.0980
Ru1 0.3333 0.6667 0.3488

=====

# PBE CeZnH6Ru, relaxed
# electronic total energy: -38.989 eV/cell
data_CeZnH6Ru
_chemical_formula_sum 'Ce1 Zn1 H6 Ru1'
_symmetry_space_group_name_H-M 'P -6 m 2'
_symmetry_Int_Tables_number 187
_symmetry_space_group_name_Hall 'P -6 2'
_cell_length_a 4.5866
_cell_length_b 4.5866
_cell_length_c 4.4568
_cell_angle_alpha 90.00
_cell_angle_beta 90.00
_cell_angle_gamma 120.00
loop_
_atom_site_label
_atom_site_fract_x
_atom_site_fract_y
_atom_site_fract_z
Ce1 0.0000 0.0000 0.0000
Zn1 0.3333 0.6667 0.5000
H1 0.5119 0.0238 0.2273
Ru1 0.6667 0.3333 0.5000

=====

# PBE Ce2HS, relaxed
# electronic total energy: -23.523 eV/cell
# E above lowest polymorph: 0.0385 eV per atom
data_Ce2HS
_chemical_formula_sum 'Ce2 H1 S1'
_symmetry_space_group_name_H-M 'P -3 m 1'
_symmetry_Int_Tables_number 164
_symmetry_space_group_name_Hall '-P 3 2"'
_cell_length_a 3.8164
_cell_length_b 3.8164
_cell_length_c 6.5064
_cell_angle_alpha 90.00
_cell_angle_beta 90.00
_cell_angle_gamma 120.00
loop_
_atom_site_label
_atom_site_fract_x
_atom_site_fract_y
_atom_site_fract_z
Ce1 0.3333 0.6667 0.2359
H1 0.0000 0.0000 0.0000
S1 0.0000 0.0000 0.5000

=====

# PBE CeH2S, relaxed
# electronic total energy: -38.737 eV/cell
# E above lowest polymorph: 0.2455 eV per atom
data_CeH2S
_chemical_formula_sum 'Ce2 H4 S2'
_symmetry_space_group_name_H-M 'I m m 2'
_symmetry_Int_Tables_number 44
_symmetry_space_group_name_Hall 'I 2 -2'
_cell_length_a 4.035
_cell_length_b 4.793
_cell_length_c 6.285
_cell_angle_alpha 90.00
_cell_angle_beta 90.00
_cell_angle_gamma 90.00
loop_
_atom_site_label
_atom_site_fract_x
_atom_site_fract_y
_atom_site_fract_z
Ce1 0.000 0.000 0.000
H1 0.000 0.000 0.335
H2 0.000 0.500 0.675
S1 0.000 0.500 0.200

=====

# PBE CeHS2, relaxed
# electronic total energy: -90.369 eV/cell
# E above lowest polymorph: 0.0000 eV per atom
data_CeHS2
_chemical_formula_sum 'Ce4 H4 S8'
_symmetry_space_group_name_H-M 'C m c 21'
_symmetry_Int_Tables_number 36
_symmetry_space_group_name_Hall 'C 2c -2'
_cell_length_a 4.301
_cell_length_b 17.465
_cell_length_c 5.506
_cell_angle_alpha 90.00
_cell_angle_beta 90.00
_cell_angle_gamma 90.00
loop_
_atom_site_label
_atom_site_fract_x
_atom_site_fract_y
_atom_site_fract_z
Ce1 0.000 0.181 0.000
H1 0.000 0.470 0.651
S1 0.000 0.211 0.499
S2 0.000 0.428 0.441

=====

# PBE Ce2H2S, relaxed
# electronic total energy: -222.310 eV/cell
# E above lowest polymorph: 0.0000 eV per atom
data_Ce2H2S
_chemical_formula_sum 'Ce16 H16 S8'
_symmetry_space_group_name_H-M 'F d d d'
_symmetry_Int_Tables_number 70
_cell_length_a 8.232
_cell_length_b 8.273
_cell_length_c 9.767
_cell_angle_alpha 90.00
_cell_angle_beta 90.00
_cell_angle_gamma 90.00
loop_
_symmetry_equiv_pos_as_xyz
'x,y,z'
'-x,-y,-z'
'-x+1/4,-y+1/4,z'
'x+1/4,y+1/4,-z'
'x,-y+1/4,-z+1/4'
'-x,y+1/4,z+1/4'
'-x+1/4,y,-z+1/4'
'x+1/4,-y,z+1/4'
'x,y+1/2,z+1/2'
'-x,-y+1/2,-z+1/2'
'-x+1/4,-y+3/4,z+1/2'
'x+1/4,y+3/4,-z+1/2'
'x,-y+3/4,-z+3/4'
'-x,y+3/4,z+3/4'
'-x+1/4,y+1/2,-z+3/4'
'x+1/4,-y+1/2,z+3/4'
'x+1/2,y,z+1/2'
'-x+1/2,-y,-z+1/2'
'-x+3/4,-y+1/4,z+1/2'
'x+3/4,y+1/4,-z+1/2'
'x+1/2,-y+1/4,-z+3/4'
'-x+1/2,y+1/4,z+3/4'
'-x+3/4,y,-z+3/4'
'x+3/4,-y,z+3/4'
'x+1/2,y+1/2,z'
'-x+1/2,-y+1/2,-z'
'-x+3/4,-y+3/4,z'
'x+3/4,y+3/4,-z'
'x+1/2,-y+3/4,-z+1/4'
'-x+1/2,y+3/4,z+1/4'
'-x+3/4,y+1/2,-z+1/4'
'x+3/4,-y+1/2,z+1/4'
loop_
_atom_site_label
_atom_site_fract_x
_atom_site_fract_y
_atom_site_fract_z
Ce1 0.125 0.125 0.341
H1 0.125 0.255 0.125
S1 0.125 0.125 0.625

=====

# PBE Ce4HS5, relaxed
# electronic total energy: -127.292 eV/cell
data_Ce4HS5
_chemical_formula_sum 'Ce8 H2 S10'
_symmetry_space_group_name_H-M 'C 1 2/m 1'
_symmetry_Int_Tables_number 12
_symmetry_space_group_name_Hall '-C 2y'
_cell_length_a 17.624
_cell_length_b 7.388
_cell_length_c 4.001
_cell_angle_alpha 90.00
_cell_angle_beta 103.00
_cell_angle_gamma 90.00
loop_
_atom_site_label
_atom_site_fract_x
_atom_site_fract_y
_atom_site_fract_z
Ce1 0.000 0.240 0.000
Ce2 0.217 0.000 0.718
H1 0.000 0.000 0.500
S1 0.000 0.500 0.500
S2 0.163 0.238 0.164

=====

# PBE CeH2S, relaxed
# electronic total energy: -61.052 eV/cell
# E above lowest polymorph: 0.0000 eV per atom
data_CeH2S
_chemical_formula_sum 'Ce3 H6 S3'
_symmetry_space_group_name_H-M 'R -3 m'
_symmetry_Int_Tables_number 166
_symmetry_space_group_name_Hall '-R 3 2"'
_cell_length_a 3.7618
_cell_length_b 3.7618
_cell_length_c 12.2140
_cell_angle_alpha 90.00
_cell_angle_beta 90.00
_cell_angle_gamma 120.00
loop_
_atom_site_label
_atom_site_fract_x
_atom_site_fract_y
_atom_site_fract_z
Ce1 0.0000 0.0000 0.0000
H1 0.0000 0.0000 0.2964
S1 0.0000 0.0000 0.5000

=====

# PBE CeHS2, relaxed
# electronic total energy: -66.962 eV/cell
# E above lowest polymorph: 0.0679 eV per atom
data_CeHS2
_chemical_formula_sum 'Ce3 H3 S6'
_symmetry_space_group_name_H-M 'R -3 m'
_symmetry_Int_Tables_number 166
_symmetry_space_group_name_Hall '-R 3 2"'
_cell_length_a 4.2876
_cell_length_b 4.2876
_cell_length_c 18.2589
_cell_angle_alpha 90.00
_cell_angle_beta 90.00
_cell_angle_gamma 120.00
loop_
_atom_site_label
_atom_site_fract_x
_atom_site_fract_y
_atom_site_fract_z
Ce1 0.0000 0.0000 0.0000
H1 0.0000 0.0000 0.5000
S1 0.0000 0.0000 0.4106

=====

# PBE Ce2HS, relaxed
# electronic total energy: -69.956 eV/cell
# E above lowest polymorph: 0.0896 eV per atom
data_Ce2HS
_chemical_formula_sum 'Ce6 H3 S3'
_symmetry_space_group_name_H-M 'R 3 m'
_symmetry_Int_Tables_number 160
_symmetry_space_group_name_Hall 'R 3 -2"'
_cell_length_a 3.7383
_cell_length_b 3.7383
_cell_length_c 19.5320
_cell_angle_alpha 90.00
_cell_angle_beta 90.00
_cell_angle_gamma 120.00
loop_
_atom_site_label
_atom_site_fract_x
_atom_site_fract_y
_atom_site_fract_z
Ce1 0.0000 0.0000 0.0000
Ce2 0.0000 0.0000 0.1570
H1 0.0000 0.0000 0.4074
S1 0.0000 0.0000 0.5789

=====

# PBE Ce2HS, relaxed
# electronic total energy: -71.031 eV/cell
# E above lowest polymorph: 0.0000 eV per atom
data_Ce2HS
_chemical_formula_sum 'Ce6 H3 S3'
_symmetry_space_group_name_H-M 'R -3 m'
_symmetry_Int_Tables_number 166
_symmetry_space_group_name_Hall '-R 3 2"'
_cell_length_a 3.8213
_cell_length_b 3.8213
_cell_length_c 19.1790
_cell_angle_alpha 90.00
_cell_angle_beta 90.00
_cell_angle_gamma 120.00
loop_
_atom_site_label
_atom_site_fract_x
_atom_site_fract_y
_atom_site_fract_z
Ce1 0.0000 0.0000 0.2455
H1 0.0000 0.0000 0.5000
S1 0.0000 0.0000 0.0000

=====

# PBE Ce3H2S3, relaxed
# electronic total energy: -194.197 eV/cell
data_Ce3H2S3
_chemical_formula_sum 'Ce12 H8 S12'
_symmetry_space_group_name_H-M 'C m c m'
_symmetry_Int_Tables_number 63
_symmetry_space_group_name_Hall '-C 2c 2'
_cell_length_a 3.932
_cell_length_b 10.640
_cell_length_c 14.050
_cell_angle_alpha 90.00
_cell_angle_beta 90.00
_cell_angle_gamma 90.00
loop_
_atom_site_label
_atom_site_fract_x
_atom_site_fract_y
_atom_site_fract_z
Ce1 0.000 0.137 0.056
Ce2 0.000 0.152 0.750
H1 0.000 0.264 0.590
S1 0.000 0.144 0.250
S2 0.000 0.422 0.102